# 1
## Ga2SnSb (meta-GGA SCAN)

Data for a crystal of Ga2SnSb relaxed with PBEsol.

Cell lengths 6.168, 6.168, 12.002 Å; angles 90.00, 90.00, 90.00 degrees
Sites, in units of the cell vectors:
Ga1 0.249 0.250 0.125
Ga2 0.250 0.749 0.375
Ga3 0.250 0.751 0.875
Ga4 0.251 0.250 0.625
Ga5 0.749 0.750 0.625
Ga6 0.750 0.249 0.875
Ga7 0.750 0.251 0.375
Ga8 0.751 0.750 0.125
Sn1 0.000 0.000 0.000
Sn2 0.000 0.500 0.250
Sn3 0.500 0.000 0.750
Sn4 0.500 0.500 0.500
Sb1 0.000 0.000 0.500
Sb2 0.000 0.500 0.750
Sb3 0.500 0.000 0.250
Sb4 0.500 0.500 0.000

## Properties
* symmetry: No. 122
* crystal system: tetragonal
* raw formation energy: 0.000 eV per atom

***

# 2
## ScSnAsSe2 (meta-GGA SCAN)

Data for a crystal of ScSnAsSe2 relaxed with PBEsol.

Cell lengths 5.056, 5.056, 5.073 Å; angles 90.00, 90.00, 90.00 degrees
Sites, in units of the cell vectors:
Sc1 0.000 0.000 0.000
Sn1 0.500 0.500 0.500
As1 0.000 0.000 0.500
Se1 0.000 0.500 0.000
Se2 0.500 0.000 0.000

## Properties
* symmetry: No. 123
* crystal system: tetragonal
* raw formation energy: -0.302 eV per atom

***

# 3
## LiCo3NiO8 (meta-GGA SCAN)

Data for a crystal of LiCo3NiO8 relaxed with PBEsol.

Cell lengths 5.811, 5.811, 5.811 Å; angles 57.26, 57.26, 57.26 degrees
Sites, in units of the cell vectors:
Li1 0.000 0.000 0.000
Co1 0.000 0.000 0.500
Co2 0.000 0.500 0.000
Co3 0.500 0.000 0.000
Ni1 0.500 0.500 0.500
O1 0.229 0.734 0.734
O2 0.230 0.230 0.230
O3 0.266 0.266 0.771
O4 0.266 0.771 0.266
O5 0.734 0.229 0.734
O6 0.734 0.734 0.229
O7 0.770 0.770 0.770
O8 0.771 0.266 0.266

## Properties
* symmetry: No. 166
* crystal system: trigonal
* raw formation energy: -1.312 eV per atom

***

# 4
## ReP (meta-GGA SCAN)

Data for a crystal of ReP relaxed with PBEsol.

Cell lengths 2.937, 2.937, 2.937 Å; angles 90.00, 90.00, 90.00 degrees
Sites, in units of the cell vectors:
Re1 0.000 0.000 0.000
P1 0.500 0.500 0.500

## Properties
* symmetry: No. 221
* ΔE_f: -0.0391 eV per atom
* crystal system: cubic

***

# 5
## Ba2CoIr (meta-GGA SCAN)

Data for a crystal of Ba2CoIr relaxed with PBEsol.

Cell lengths 7.240, 7.240, 7.240 Å; angles 90.00, 90.00, 90.00 degrees
Sites, in units of the cell vectors:
Ba1 0.000 0.000 0.000
Ba2 0.000 0.500 0.500
Ba3 0.250 0.250 0.250
Ba4 0.250 0.750 0.750
Ba5 0.500 0.000 0.500
Ba6 0.500 0.500 0.000
Ba7 0.750 0.250 0.750
Ba8 0.750 0.750 0.250
Co1 0.250 0.250 0.750
Co2 0.250 0.750 0.250
Co3 0.750 0.250 0.250
Co4 0.750 0.750 0.750
Ir1 0.000 0.000 0.500
Ir2 0.000 0.500 0.000
Ir3 0.500 0.000 0.000
Ir4 0.500 0.500 0.500

## Properties
* symmetry: No. 216
* ΔE_f: 0.7126 eV per atom
* crystal system: cubic

***

# 6
## Ba4InW (meta-GGA SCAN)

Data for a crystal of Ba4InW relaxed with PBEsol.

Cell lengths 6.844, 6.844, 6.844 Å; angles 60.00, 60.00, 60.00 degrees
Sites, in units of the cell vectors:
Ba1 0.125 0.125 0.125
Ba2 0.125 0.125 0.625
Ba3 0.125 0.625 0.125
Ba4 0.625 0.125 0.125
In1 0.500 0.500 0.500
W1 0.750 0.750 0.750

## Properties
* symmetry: No. 216
* ΔE_f: 1.1658 eV per atom
* crystal system: cubic

***

# 7
## NaHg2AsP (meta-GGA SCAN)

Data for a crystal of NaHg2AsP relaxed with PBEsol.

Cell lengths 5.071, 5.071, 4.923 Å; angles 90.00, 90.00, 90.00 degrees
Sites, in units of the cell vectors:
Na1 0.000 0.000 0.000
Hg1 0.000 0.500 0.500
Hg2 0.500 0.000 0.500
As1 0.500 0.500 0.000
P1 0.500 0.500 0.500

## Properties
* symmetry: No. 123
* ΔE_f: 0.2117 eV per atom
* crystal system: tetragonal

***

# 8
## KCd2Au (meta-GGA SCAN)

Data for a crystal of KCd2Au relaxed with PBEsol.

Cell lengths 3.587, 4.969, 5.730 Å; angles 90.00, 98.14, 90.00 degrees
Sites, in units of the cell vectors:
K1 0.000 0.000 0.000
Cd1 0.414 0.500 0.732
Cd2 0.586 0.500 0.268
Au1 0.500 0.000 0.500

## Properties
* symmetry: No. 10
* ΔE_f: -0.1363 eV per atom
* crystal system: monoclinic

***

# 9
## ZrOsBr2 (meta-GGA SCAN)

Data for a crystal of ZrOsBr2 relaxed with PBEsol.

Cell lengths 3.183, 3.183, 26.198 Å; angles 90.00, 90.00, 120.00 degrees
Sites, in units of the cell vectors:
Zr1 0.000 0.000 0.000
Zr2 0.333 0.667 0.667
Zr3 0.667 0.333 0.333
Os1 0.000 0.000 0.500
Os2 0.333 0.667 0.167
Os3 0.667 0.333 0.833
Br1 0.000 0.000 0.409
Br2 0.000 0.000 0.591
Br3 0.333 0.667 0.075
Br4 0.333 0.667 0.258
Br5 0.667 0.333 0.742
Br6 0.667 0.333 0.925

## Properties
* symmetry: No. 166
* crystal system: trigonal
* raw formation energy: 0.292 eV per atom

***

# 10
## RbBe2GeS (meta-GGA SCAN)

Data for a crystal of RbBe2GeS relaxed with PBEsol.

Cell lengths 4.310, 4.310, 5.746 Å; angles 90.00, 90.00, 90.00 degrees
Sites, in units of the cell vectors:
Rb1 0.000 0.000 0.000
Be1 0.000 0.500 0.500
Be2 0.500 0.000 0.500
Ge1 0.500 0.500 0.000
S1 0.000 0.000 0.500

## Properties
* symmetry: No. 123
* crystal system: tetragonal
* raw formation energy: 0.778 eV per atom

***

# 11
## BTe2P (meta-GGA SCAN)

Data for a crystal of BTe2P relaxed with PBEsol.

Cell lengths 3.942, 3.942, 22.845 Å; angles 90.00, 90.00, 120.00 degrees
Sites, in units of the cell vectors:
B1 0.000 0.000 0.000
B2 0.333 0.667 0.667
B3 0.667 0.333 0.333
Te1 0.000 0.000 0.091
Te2 0.000 0.000 0.909
Te3 0.333 0.667 0.575
Te4 0.333 0.667 0.758
Te5 0.667 0.333 0.242
Te6 0.667 0.333 0.425
P1 0.000 0.000 0.500
P2 0.333 0.667 0.167
P3 0.667 0.333 0.833

## Properties
* symmetry: No. 166
* crystal system: trigonal
* raw formation energy: 1.053 eV per atom

***

# 12
## TlCd2Cl (meta-GGA SCAN)

Data for a crystal of TlCd2Cl relaxed with PBEsol.

Cell lengths 4.673, 4.673, 9.070 Å; angles 90.00, 90.00, 90.00 degrees
Sites, in units of the cell vectors:
Tl1 0.000 0.000 0.000
Tl2 0.500 0.500 0.500
Cd1 0.000 0.000 0.500
Cd2 0.000 0.500 0.250
Cd3 0.500 0.000 0.750
Cd4 0.500 0.500 0.000
Cl1 0.000 0.500 0.750
Cl2 0.500 0.000 0.250

## Properties
* symmetry: No. 119
* crystal system: tetragonal
* raw formation energy: -0.248 eV per atom

***

Total magnetization values (in μB/f.u.) by entry order: 0.0, 0.0, 2.0, 0.0, 2.1, 3.1, 0.0, 0.0, 0.0, 0.0, 0.1, 0.0.